DFT (PBE) results for a relaxed PuZn2Ge2 crystal.

DFT total energy ... -27.16 eV per cell
Total moment ... 5.47 μB per formula unit
Space-group type ... No. 123

Unit cell a=4.055 b=4.055 c=5.768 alpha=90.00 beta=90.00 gamma=90.00
Element x y z (fractional)
1 Zn 0.500 0.000 0.500
2 Zn 0.000 0.500 0.500
3 Ge 0.500 0.500 0.213
4 Ge 0.500 0.500 0.787
5 Pu 0.000 0.000 0.000